# KNiAg PBE optimized geometry
# crystal system: orthorhombic
# Fermi-level density of states: 5.6 states/eV/cell
# spin magnetization: 0.1 μB/f.u.
# polymorph energy (0 for the lowest one): 0 meV per atom
data_KNiAg
_symmetry_space_group_name_H-M 'I m m 2'
_symmetry_Int_Tables_number 44
_cell_length_a 2.883
_cell_length_b 4.237
_cell_length_c 11.469
_cell_angle_alpha 90.00
_cell_angle_beta 90.00
_cell_angle_gamma 90.00
loop_
_symmetry_equiv_pos_as_xyz
'x,y,z'
'-x,-y,z'
'-x,y,z'
'x,-y,z'
'x+1/2,y+1/2,z+1/2'
'-x+1/2,-y+1/2,z+1/2'
'-x+1/2,y+1/2,z+1/2'
'x+1/2,-y+1/2,z+1/2'
loop_
_atom_site_label
_atom_site_type_symbol
_atom_site_fract_x
_atom_site_fract_y
_atom_site_fract_z
K1 K 0.000 0.000 0.000
Ni1 Ni 0.000 0.000 0.270
Ag1 Ag 0.000 0.000 0.725